[1]
The following is a PBE calculation of crystalline Sr2Zn7Ga at its relaxed geometry, from Alexandria.

Calculated values
- E_tot (eV per atom) = -1.78
- energy of formation (eV/atom) = -0.250
- calculated volume (A^3/atom) = 20.7

Unit cell a=4.3653 b=4.3653 c=10.8638 alpha=90.00 beta=90.00 gamma=90.00
Last column: nearest neighbours and their distance in Å.
Atoms (fractional coordinates):
1 Sr 0.5000 0.0000 0.7502  14 Zn 3.34-3.49, 2 Ga 3.48
2 Sr 0.0000 0.5000 0.2498  14 Zn 3.34-3.49, 2 Ga 3.48
3 Zn 0.0000 0.5000 0.8680  3 Zn 2.58-2.61, 2 Ga 2.61
4 Zn 0.5000 0.0000 0.3693  5 Zn 2.58-2.60
5 Zn 0.5000 0.0000 0.1320  3 Zn 2.58-2.61, 2 Ga 2.61
6 Zn 0.0000 0.5000 0.6307  5 Zn 2.58-2.60
7 Zn 0.0000 0.0000 0.5000  4 Zn 2.60
8 Zn 0.0000 0.0000 0.0000  4 Zn 2.61
9 Zn 0.5000 0.5000 0.5000  4 Zn 2.60
10 Ga 0.5000 0.5000 0.0000  4 Zn 2.61



[2]
The following is a PBE calculation of crystalline SmSi4Au12 at its relaxed geometry, from Alexandria.

Calculated values
- E_tot (eV per atom) = -3.93
- calculated volume (A^3/atom) = 20.3

Unit cell a=7.6522 b=7.6522 c=7.6522 alpha=109.47 beta=109.47 gamma=109.47
Last column: nearest neighbours and their distance in Å.
Atoms (fractional coordinates):
1 Sm 0.0000 0.0000 0.0000  12 Au 3.31
2 Si 0.0000 0.5000 0.0000  6 Au 2.47
3 Si 0.5000 0.0000 0.0000  6 Au 2.47
4 Si 0.5000 0.5000 0.5000  6 Au 2.47
5 Si 0.0000 0.0000 0.5000  6 Au 2.47
6 Au 0.8397 0.3386 0.1783  2 Si 2.47
7 Au 0.3386 0.4988 0.1603  2 Si 2.47
8 Au 0.8217 0.1603 0.6614  2 Si 2.47
9 Au 0.3386 0.1783 0.8397  2 Si 2.47
10 Au 0.1783 0.8397 0.3386  2 Si 2.47
11 Au 0.6614 0.5012 0.8397  2 Si 2.47
12 Au 0.4988 0.1603 0.3386  2 Si 2.47
13 Au 0.5012 0.8397 0.6614  2 Si 2.47
14 Au 0.6614 0.8217 0.1603  2 Si 2.47
15 Au 0.8397 0.6614 0.5012  2 Si 2.47
16 Au 0.1603 0.3386 0.4988  2 Si 2.47
17 Au 0.1603 0.6614 0.8217  2 Si 2.47



[3]
The following is a PBE calculation of crystalline La2Tb4Dy3 at its relaxed geometry, from Alexandria.

Calculated values
- E above lowest polymorph (eV per atom) = 0.127
- E_tot (eV per atom) = -4.51
- energy of formation (eV/atom) = 0.178
- calculated volume (A^3/atom) = 33.9

Unit cell a=6.9379 b=6.9379 c=8.5537 alpha=99.19 beta=99.19 gamma=127.31
Last column: nearest neighbours and their distance in Å.
Atoms (fractional coordinates):
1 La 0.6147 0.6147 0.2294  6 Dy 3.58-3.92, 6 Tb 3.63-3.75, 1 La 3.66
2 La 0.3853 0.3853 0.7706  6 Dy 3.58-3.92, 6 Tb 3.63-3.75, 1 La 3.66
3 Tb 0.3322 0.0434 0.3756  4 Tb 3.29-3.66, 3 Dy 3.49-3.62, 1 La 3.63
4 Tb 0.6678 0.9566 0.6244  4 Tb 3.29-3.66, 3 Dy 3.49-3.62, 1 La 3.63
5 Tb 0.9566 0.6678 0.6244  4 Tb 3.29-3.66, 3 Dy 3.49-3.62, 1 La 3.63
6 Tb 0.0434 0.3322 0.3756  4 Tb 3.29-3.66, 3 Dy 3.49-3.62, 1 La 3.63
7 Dy 0.5000 0.0000 0.0000  2 Dy 3.08
8 Dy 0.0000 0.5000 0.0000  2 Dy 3.08
9 Dy 0.0000 0.0000 0.0000  4 Dy 3.47, 4 Tb 3.49, 4 La 3.58



[4]
The following is a PBE calculation of crystalline Cs3FeCl5 at its relaxed geometry, from Alexandria.

Calculated values
- E_tot (eV per atom) = -3.85
- calculated volume (A^3/atom) = 36.6

Unit cell a=9.4485 b=9.4485 c=9.9605 alpha=118.31 beta=118.31 gamma=90.00
Last column: nearest neighbours and their distance in Å.
Atoms (fractional coordinates):
1 Cs 0.6676 0.1676 0.0000  8 Cl 3.49-3.71
2 Cs 0.3324 0.8324 0.0000  8 Cl 3.49-3.71
3 Cs 0.8324 0.6676 0.0000  8 Cl 3.49-3.71
4 Cs 0.1676 0.3324 0.0000  8 Cl 3.49-3.71
5 Cs 0.2500 0.2500 0.5000  10 Cl 3.69-3.91
6 Cs 0.7500 0.7500 0.5000  10 Cl 3.69-3.91
7 Fe 0.7500 0.2500 0.5000  4 Cl 2.30
8 Fe 0.2500 0.7500 0.5000  4 Cl 2.30
9 Cl 0.9807 0.4807 0.6865  1 Fe 2.30
10 Cl 0.7058 0.2058 0.6865  1 Fe 2.30
11 Cl 0.2058 0.9807 0.6865  1 Fe 2.30
12 Cl 0.4807 0.7058 0.6865  1 Fe 2.30
13 Cl 0.0193 0.5193 0.3135  1 Fe 2.30
14 Cl 0.2942 0.7942 0.3135  1 Fe 2.30
15 Cl 0.7942 0.0193 0.3135  1 Fe 2.30
16 Cl 0.5193 0.2942 0.3135  1 Fe 2.30
17 Cl 0.5000 0.5000 0.0000  6 Cs 3.52-3.69
18 Cl 0.0000 0.0000 0.0000  6 Cs 3.52-3.69



> What is the formula in the second record?

SmSi4Au12



> Which value of E_tot does entry 1 give?

-1.78 eV per atom



> What is the calculated volume in the third record?

33.9 A^3/atom



Please write out number 2 again, unchanged.
The following is a PBE calculation of crystalline SmSi4Au12 at its relaxed geometry, from Alexandria.

Calculated values
- E_tot (eV per atom) = -3.93
- calculated volume (A^3/atom) = 20.3

Unit cell a=7.6522 b=7.6522 c=7.6522 alpha=109.47 beta=109.47 gamma=109.47
Last column: nearest neighbours and their distance in Å.
Atoms (fractional coordinates):
1 Sm 0.0000 0.0000 0.0000  12 Au 3.31
2 Si 0.0000 0.5000 0.0000  6 Au 2.47
3 Si 0.5000 0.0000 0.0000  6 Au 2.47
4 Si 0.5000 0.5000 0.5000  6 Au 2.47
5 Si 0.0000 0.0000 0.5000  6 Au 2.47
6 Au 0.8397 0.3386 0.1783  2 Si 2.47
7 Au 0.3386 0.4988 0.1603  2 Si 2.47
8 Au 0.8217 0.1603 0.6614  2 Si 2.47
9 Au 0.3386 0.1783 0.8397  2 Si 2.47
10 Au 0.1783 0.8397 0.3386  2 Si 2.47
11 Au 0.6614 0.5012 0.8397  2 Si 2.47
12 Au 0.4988 0.1603 0.3386  2 Si 2.47
13 Au 0.5012 0.8397 0.6614  2 Si 2.47
14 Au 0.6614 0.8217 0.1603  2 Si 2.47
15 Au 0.8397 0.6614 0.5012  2 Si 2.47
16 Au 0.1603 0.3386 0.4988  2 Si 2.47
17 Au 0.1603 0.6614 0.8217  2 Si 2.47